5
Lattice="4.0702 0.0000 0.0000 0.0000 4.0702 0.0000 0.0000 0.0000 4.0702" Properties=species:S:1:pos:R:3 comment="TaInO3 | the Alexandria database | GGA-PBE | optimized geometry" magnetic_moment_mub_per_cell=0.00 space_group="Pm-3m, No. 221" raw_formation_energy_ev_per_atom=-2.0961 pbc="T T T"
Ta 0.0000 0.0000 0.0000
In 2.0351 2.0351 2.0351
O 0.0000 0.0000 2.0351
O 0.0000 2.0351 0.0000
O 2.0351 0.0000 0.0000